(1)
{"formula": "Cs3Bi5Te12", "functional": "GGA-PBE", "state": "optimized geometry", "lattice": [[-8.128, 4.260, 14.166], [4.663, -16.200, 0.844], [13.692, 9.711, -1.768]], "species": ["Cs", "Cs", "Cs", "Cs", "Cs", "Cs", "Cs", "Cs", "Cs", "Cs", "Cs", "Cs", "Bi", "Bi", "Bi", "Bi", "Bi", "Bi", "Bi", "Bi", "Bi", "Bi", "Bi", "Bi", "Bi", "Bi", "Bi", "Bi", "Bi", "Bi", "Bi", "Bi", "Te", "Te", "Te", "Te", "Te", "Te", "Te", "Te", "Te", "Te", "Te", "Te", "Te", "Te", "Te", "Te", "Te", "Te", "Te", "Te", "Te", "Te", "Te", "Te", "Te", "Te", "Te", "Te", "Te", "Te", "Te", "Te", "Te", "Te", "Te", "Te", "Te", "Te", "Te", "Te", "Te", "Te", "Te", "Te", "Te", "Te", "Te", "Te"], "frac_coords": [[0.750, 0.375, 0.125], [0.875, 0.750, 0.125], [0.375, 0.750, 0.625], [0.250, 0.125, 0.375], [0.875, 0.125, 0.250], [0.375, 0.625, 0.250], [0.625, 0.375, 0.750], [0.125, 0.875, 0.750], [0.750, 0.875, 0.625], [0.625, 0.250, 0.375], [0.125, 0.250, 0.875], [0.250, 0.625, 0.875], [0.125, 0.375, 0.250], [0.000, 0.500, 0.000], [0.000, 0.000, 0.000], [0.375, 0.250, 0.125], [0.500, 0.000, 0.500], [0.500, 0.500, 0.000], [0.125, 0.750, 0.375], [0.750, 0.125, 0.875], [0.750, 0.625, 0.375], [0.375, 0.125, 0.750], [0.625, 0.875, 0.250], [0.500, 0.500, 0.500], [0.500, 0.000, 0.000], [0.000, 0.000, 0.500], [0.250, 0.375, 0.625], [0.250, 0.875, 0.125], [0.000, 0.500, 0.500], [0.875, 0.250, 0.625], [0.625, 0.750, 0.875], [0.875, 0.625, 0.750], [0.704, 0.113, 0.026], [0.322, 0.526, 0.413], [0.974, 0.387, 0.296], [0.526, 0.204, 0.113], [0.591, 0.704, 0.678], [0.974, 0.587, 0.178], [0.322, 0.796, 0.409], [0.087, 0.909, 0.113], [0.587, 0.974, 0.678], [0.704, 0.591, 0.178], [0.796, 0.474, 0.387], [0.822, 0.913, 0.026], [0.113, 0.704, 0.526], [0.387, 0.413, 0.091], [0.091, 0.913, 0.387], [0.409, 0.113, 0.587], [0.091, 0.178, 0.204], [0.474, 0.678, 0.087], [0.822, 0.909, 0.296], [0.113, 0.409, 0.087], [0.387, 0.974, 0.796], [0.587, 0.613, 0.409], [0.913, 0.822, 0.526], [0.796, 0.322, 0.909], [0.413, 0.387, 0.591], [0.087, 0.178, 0.474], [0.204, 0.678, 0.091], [0.178, 0.091, 0.704], [0.613, 0.026, 0.204], [0.887, 0.591, 0.913], [0.526, 0.322, 0.913], [0.591, 0.887, 0.413], [0.909, 0.822, 0.796], [0.909, 0.087, 0.613], [0.887, 0.296, 0.474], [0.178, 0.087, 0.974], [0.613, 0.587, 0.909], [0.413, 0.026, 0.322], [0.296, 0.409, 0.822], [0.204, 0.526, 0.613], [0.913, 0.091, 0.887], [0.678, 0.204, 0.591], [0.474, 0.796, 0.887], [0.026, 0.413, 0.822], [0.409, 0.296, 0.322], [0.026, 0.613, 0.704], [0.678, 0.474, 0.587], [0.296, 0.887, 0.974]], "volume_a3_per_atom": 46.273, "raw_formation_energy_mev_per_atom": -156, "space_group": "Ia-3d (230)"}

(2)
{"formula": "Li2CaLa2Sb2", "functional": "GGA-PBE", "state": "optimized geometry", "lattice": [[4.816, 0.000, 0.000], [2.408, 4.171, 0.000], [2.408, 1.390, 9.440]], "species": ["Li", "Li", "Ca", "La", "La", "Sb", "Sb"], "frac_coords": [[0.597, 0.597, 0.210], [0.403, 0.403, 0.790], [0.000, 0.000, 0.000], [0.132, 0.132, 0.603], [0.868, 0.868, 0.397], [0.735, 0.735, 0.794], [0.265, 0.265, 0.206]], "volume_a3_per_atom": 27.085, "raw_formation_energy_mev_per_atom": -634, "space_group": "R-3m (166)"}